A plane-wave DFT calculation with PBE with a Hubbard U was carried out for a relaxed Rb2MgVO4 crystal. Values from VASP.

Properties
- total energy (eV per atom) = -5.73
- M_tot (μB per formula unit) = 1.00
- density (g cm⁻³) = 3.03
- SG = Fddd

Geometry as Quantum ESPRESSO input:
```
&SYSTEM
  ibrav = 0, nat = 16, ntyp = 4
/
ATOMIC_SPECIES
Rb 85.47 Rb.upf
Mg 24.30 Mg.upf
V 50.94 V.upf
O 16.00 O.upf
CELL_PARAMETERS angstrom
5.277 0.000 0.000
2.638 6.240 0.000
2.638 0.000 10.330
ATOMIC_POSITIONS angstrom
Rb 2.638 0.000 6.644
Rb 5.277 0.000 3.686
Rb 6.596 3.120 8.851
Rb 6.596 3.120 1.479
Mg 6.596 3.120 5.165
Mg 0.000 0.000 0.000
V 3.957 3.120 5.165
V 2.638 0.000 0.000
O 4.051 5.151 0.830
O 4.051 1.089 9.501
O 9.140 5.151 9.501
O 3.863 1.089 0.830
O 5.182 4.209 4.336
O 5.182 2.031 5.995
O 8.009 4.209 5.995
O 2.732 2.031 4.336
```